(1)
This record from Alexandria via LeMat-Bulk describes a geometry-optimized RbInC structure. The functional is PBE-GGA.

a b c (Å): 8.7883 5.3801 5.3801
angles (deg): 116.36 112.23 67.77
Sites, in units of the cell vectors:
C: 0.7121 0.2185 0.7815
C: 0.8116 0.0663 0.9337
In: 0.0508 0.1488 0.8512
In: 0.0472 0.8171 0.1829
Rb: 0.6945 0.5704 0.4296
Rb: 0.3208 0.3703 0.6297

Results
magnetization	0.00	μB/f.u.
energy relative to the elements	313	meV/atom
total DFT energy (no corrections)	-3.997	eV per atom

***

(2)
This record from Alexandria via LeMat-Bulk describes a geometry-optimized RbInC structure. The functional is PBE-GGA.

a b c (Å): 6.6958 6.6958 6.3788
angles (deg): 90.00 90.00 128.38
Sites, in units of the cell vectors:
C: 0.6117 0.3883 0.2500
C: 0.3883 0.6117 0.7500
In: 0.5000 0.5000 0.0000
In: 0.5000 0.5000 0.5000
Rb: 0.7976 0.2024 0.7500
Rb: 0.2024 0.7976 0.2500

Results
magnetization	0.00	μB/f.u.
energy relative to the elements	939	meV/atom
total DFT energy (no corrections)	-3.371	eV per atom

***

| no. | mass density (Mg/m³) |
| --- | --- |
| 1 | 3.45 |
| 2 | 3.15 |